(1)
# PBE-GGA BeTl2Sb, optimized geometry
# Magnetic moment ... 0.00 μB/f.u.
# Fermi-level density of states ... 0.264 states/eV per atom
# Polymorph energy (0 for the lowest one) ... 0.196 eV/atom
# Formation energy without anion corrections ... 303 meV per atom
data_BeTl2Sb
_symmetry_space_group_name_H-M 'I m m 2'
_symmetry_Int_Tables_number 44
_cell_length_a 4.059
_cell_length_b 6.318
_cell_length_c 8.898
_cell_angle_alpha 90.00
_cell_angle_beta 90.00
_cell_angle_gamma 90.00
loop_
_symmetry_equiv_pos_as_xyz
'x,y,z'
'-x,-y,z'
'-x,y,z'
'x,-y,z'
'x+1/2,y+1/2,z+1/2'
'-x+1/2,-y+1/2,z+1/2'
'-x+1/2,y+1/2,z+1/2'
'x+1/2,-y+1/2,z+1/2'
loop_
_atom_site_label
_atom_site_type_symbol
_atom_site_fract_x
_atom_site_fract_y
_atom_site_fract_z
Be1 Be 0.000 0.000 0.000
Tl1 Tl 0.000 0.000 0.449
Tl2 Tl 0.000 0.500 0.263
Sb1 Sb 0.000 0.500 0.639



(2)
# PBE-GGA Be2TlSb, optimized geometry
# Magnetic moment ... 0.00 μB/f.u.
# Fermi-level density of states ... 0.292 states/eV per atom
# Polymorph energy (0 for the lowest one) ... 0.197 eV/atom
# Formation energy without anion corrections ... 473 meV per atom
data_Be2TlSb
_symmetry_space_group_name_H-M 'C m m 2'
_symmetry_Int_Tables_number 35
_cell_length_a 4.148
_cell_length_b 4.836
_cell_length_c 8.238
_cell_angle_alpha 90.00
_cell_angle_beta 90.00
_cell_angle_gamma 90.00
loop_
_symmetry_equiv_pos_as_xyz
'x,y,z'
'-x,-y,z'
'-x,y,z'
'x,-y,z'
'x+1/2,y+1/2,z'
'-x+1/2,-y+1/2,z'
'-x+1/2,y+1/2,z'
'x+1/2,-y+1/2,z'
loop_
_atom_site_label
_atom_site_type_symbol
_atom_site_fract_x
_atom_site_fract_y
_atom_site_fract_z
Be1 Be 0.000 0.000 0.000
Be2 Be 0.000 0.500 0.094
Tl1 Tl 0.000 0.500 0.745
Sb1 Sb 0.000 0.000 0.308



(3)
# PBE-GGA Be2TlSb, optimized geometry
# Magnetic moment ... 0.00 μB/f.u.
# Fermi-level density of states ... 0.591 states/eV per atom
# Polymorph energy (0 for the lowest one) ... 0.714 eV/atom
# Formation energy without anion corrections ... 989 meV per atom
data_Be2TlSb
_symmetry_space_group_name_H-M 'F -4 3 m'
_symmetry_Int_Tables_number 216
_symmetry_space_group_name_Hall 'F -4 2 3'
_cell_length_a 6.944
_cell_length_b 6.944
_cell_length_c 6.944
_cell_angle_alpha 90.00
_cell_angle_beta 90.00
_cell_angle_gamma 90.00
loop_
_atom_site_label
_atom_site_type_symbol
_atom_site_fract_x
_atom_site_fract_y
_atom_site_fract_z
Be1 Be 0.000 0.000 0.000
Be2 Be 0.250 0.250 0.250
Tl1 Tl 0.250 0.250 0.750
Sb1 Sb 0.000 0.000 0.500



(4)
# PBE-GGA Be2TlSb, optimized geometry
# Magnetic moment ... 0.00 μB/f.u.
# Fermi-level density of states ... 0.532 states/eV per atom
# Polymorph energy (0 for the lowest one) ... 0.277 eV/atom
# Formation energy without anion corrections ... 552 meV per atom
data_Be2TlSb
_symmetry_space_group_name_H-M 'P 1 2/m 1'
_symmetry_Int_Tables_number 10
_cell_length_a 3.641
_cell_length_b 3.514
_cell_length_c 6.156
_cell_angle_alpha 90.00
_cell_angle_beta 90.33
_cell_angle_gamma 90.00
loop_
_symmetry_equiv_pos_as_xyz
'x,y,z'
'-x,-y,-z'
'-x,y,-z'
'x,-y,z'
loop_
_atom_site_label
_atom_site_type_symbol
_atom_site_fract_x
_atom_site_fract_y
_atom_site_fract_z
Be1 Be 0.003 0.000 0.170
Tl1 Tl 0.000 0.500 0.500
Sb1 Sb 0.500 0.500 0.000



(5)
# PBE-GGA BeTlSb, optimized geometry
# Magnetic moment ... 0.00 μB/f.u.
# Fermi-level density of states ... 0.125 states/eV per atom
# Polymorph energy (0 for the lowest one) ... 0.000 eV/atom
# Formation energy without anion corrections ... 121 meV per atom
data_BeTlSb
_symmetry_space_group_name_H-M 'P -6 m 2'
_symmetry_Int_Tables_number 187
_symmetry_space_group_name_Hall 'P -6 2'
_cell_length_a 4.1820
_cell_length_b 4.1820
_cell_length_c 5.2067
_cell_angle_alpha 90.00
_cell_angle_beta 90.00
_cell_angle_gamma 120.00
loop_
_atom_site_label
_atom_site_type_symbol
_atom_site_fract_x
_atom_site_fract_y
_atom_site_fract_z
Be1 Be 0.0000 0.0000 0.0000
Tl1 Tl 0.3333 0.6667 0.5000
Sb1 Sb 0.6667 0.3333 0.0000



(6)
# PBE-GGA BeTlSb2, optimized geometry
# Magnetic moment ... 0.00 μB/f.u.
# Fermi-level density of states ... 0.600 states/eV per atom
# Polymorph energy (0 for the lowest one) ... 0.013 eV/atom
# Formation energy without anion corrections ... 202 meV per atom
data_BeTlSb2
_symmetry_space_group_name_H-M 'I -4 2 d'
_symmetry_Int_Tables_number 122
_symmetry_space_group_name_Hall 'I -4 2bw'
_cell_length_a 6.033
_cell_length_b 6.033
_cell_length_c 12.858
_cell_angle_alpha 90.00
_cell_angle_beta 90.00
_cell_angle_gamma 90.00
loop_
_atom_site_label
_atom_site_type_symbol
_atom_site_fract_x
_atom_site_fract_y
_atom_site_fract_z
Be1 Be 0.000 0.000 0.000
Tl1 Tl 0.000 0.000 0.500
Sb1 Sb 0.177 0.250 0.125



(7)
# PBE-GGA BeTl2Sb, optimized geometry
# Magnetic moment ... 0.00 μB/f.u.
# Fermi-level density of states ... 0.461 states/eV per atom
# Polymorph energy (0 for the lowest one) ... 0.479 eV/atom
# Formation energy without anion corrections ... 586 meV per atom
data_BeTl2Sb
_symmetry_space_group_name_H-M 'F m -3 m'
_symmetry_Int_Tables_number 225
_symmetry_space_group_name_Hall '-F 4 2 3'
_cell_length_a 7.509
_cell_length_b 7.509
_cell_length_c 7.509
_cell_angle_alpha 90.00
_cell_angle_beta 90.00
_cell_angle_gamma 90.00
loop_
_atom_site_label
_atom_site_type_symbol
_atom_site_fract_x
_atom_site_fract_y
_atom_site_fract_z
Be1 Be 0.000 0.000 0.000
Tl1 Tl 0.250 0.250 0.250
Sb1 Sb 0.000 0.000 0.500



(8)
# PBE-GGA BeTlSb2, optimized geometry
# Magnetic moment ... 0.00 μB/f.u.
# Fermi-level density of states ... 0.248 states/eV per atom
# Polymorph energy (0 for the lowest one) ... 0.082 eV/atom
# Formation energy without anion corrections ... 271 meV per atom
data_BeTlSb2
_symmetry_space_group_name_H-M 'C m m m'
_symmetry_Int_Tables_number 65
_symmetry_space_group_name_Hall '-C 2 2'
_cell_length_a 3.996
_cell_length_b 5.634
_cell_length_c 8.870
_cell_angle_alpha 90.00
_cell_angle_beta 90.00
_cell_angle_gamma 90.00
loop_
_atom_site_label
_atom_site_type_symbol
_atom_site_fract_x
_atom_site_fract_y
_atom_site_fract_z
Be1 Be 0.000 0.000 0.000
Tl1 Tl 0.000 0.000 0.500
Sb1 Sb 0.000 0.500 0.180



(9)
# PBE-GGA BeTlSb2, optimized geometry
# Magnetic moment ... 0.00 μB/f.u.
# Fermi-level density of states ... 0.445 states/eV per atom
# Polymorph energy (0 for the lowest one) ... 0.078 eV/atom
# Formation energy without anion corrections ... 268 meV per atom
data_BeTlSb2
_symmetry_space_group_name_H-M 'I m m 2'
_symmetry_Int_Tables_number 44
_cell_length_a 3.700
_cell_length_b 3.739
_cell_length_c 15.198
_cell_angle_alpha 90.00
_cell_angle_beta 90.00
_cell_angle_gamma 90.00
loop_
_symmetry_equiv_pos_as_xyz
'x,y,z'
'-x,-y,z'
'-x,y,z'
'x,-y,z'
'x+1/2,y+1/2,z+1/2'
'-x+1/2,-y+1/2,z+1/2'
'-x+1/2,y+1/2,z+1/2'
'x+1/2,-y+1/2,z+1/2'
loop_
_atom_site_label
_atom_site_type_symbol
_atom_site_fract_x
_atom_site_fract_y
_atom_site_fract_z
Be1 Be 0.000 0.000 0.000
Tl1 Tl 0.000 0.500 0.267
Sb1 Sb 0.000 0.000 0.454
Sb2 Sb 0.000 0.500 0.616



(10)
# PBE-GGA Be2TlSb, optimized geometry
# Magnetic moment ... 0.00 μB/f.u.
# Fermi-level density of states ... 0.469 states/eV per atom
# Polymorph energy (0 for the lowest one) ... 0.455 eV/atom
# Formation energy without anion corrections ... 730 meV per atom
data_Be2TlSb
_symmetry_space_group_name_H-M 'C m m m'
_symmetry_Int_Tables_number 65
_symmetry_space_group_name_Hall '-C 2 2'
_cell_length_a 3.940
_cell_length_b 5.742
_cell_length_c 7.044
_cell_angle_alpha 90.00
_cell_angle_beta 90.00
_cell_angle_gamma 90.00
loop_
_atom_site_label
_atom_site_type_symbol
_atom_site_fract_x
_atom_site_fract_y
_atom_site_fract_z
Be1 Be 0.000 0.000 0.226
Tl1 Tl 0.000 0.500 0.500
Sb1 Sb 0.000 0.500 0.000



(11)
# PBE-GGA BeTlSb2, optimized geometry
# Magnetic moment ... 0.00 μB/f.u.
# Fermi-level density of states ... 0.519 states/eV per atom
# Polymorph energy (0 for the lowest one) ... 0.032 eV/atom
# Formation energy without anion corrections ... 221 meV per atom
data_BeTlSb2
_symmetry_space_group_name_H-M 'P 1 2/m 1'
_symmetry_Int_Tables_number 10
_cell_length_a 5.095
_cell_length_b 3.909
_cell_length_c 5.627
_cell_angle_alpha 90.00
_cell_angle_beta 116.02
_cell_angle_gamma 90.00
loop_
_symmetry_equiv_pos_as_xyz
'x,y,z'
'-x,-y,-z'
'-x,y,-z'
'x,-y,z'
loop_
_atom_site_label
_atom_site_type_symbol
_atom_site_fract_x
_atom_site_fract_y
_atom_site_fract_z
Be1 Be 0.000 0.000 0.000
Tl1 Tl 0.500 0.000 0.500
Sb1 Sb 0.171 0.500 0.810



(12)
# PBE-GGA BeTlSb2, optimized geometry
# Magnetic moment ... 0.00 μB/f.u.
# Fermi-level density of states ... 0.506 states/eV per atom
# Polymorph energy (0 for the lowest one) ... 0.422 eV/atom
# Formation energy without anion corrections ... 611 meV per atom
data_BeTlSb2
_symmetry_space_group_name_H-M 'I 4/m m m'
_symmetry_Int_Tables_number 139
_symmetry_space_group_name_Hall '-I 4 2'
_cell_length_a 4.909
_cell_length_b 4.909
_cell_length_c 8.175
_cell_angle_alpha 90.00
_cell_angle_beta 90.00
_cell_angle_gamma 90.00
loop_
_atom_site_label
_atom_site_type_symbol
_atom_site_fract_x
_atom_site_fract_y
_atom_site_fract_z
Be1 Be 0.000 0.000 0.000
Tl1 Tl 0.000 0.000 0.500
Sb1 Sb 0.000 0.500 0.250